{
  "formula": "Li2PdBrF",
  "functional": "PBE",
  "state": "relaxed",
  "final_energy_ev_per_atom": -2.885,
  "space_group": "P4/mmm (123)",
  "cell": [[4.569, 0.000, 0.000], [0.000, 5.592, 0.000], [0.000, 0.000, 4.569]],
  "species": ["Li", "Li", "Br", "Pd", "F"],
  "frac_coords": [[0.000, 0.000, 0.500], [0.500, 0.000, 0.000], [0.000, 0.000, 0.000], [0.500, 0.500, 0.500], [0.000, 0.500, 0.000]]
}